# 1
DFT (PBE) results for a relaxed structure of Cs2TiI6Cl.

a = 9.003 Å, b = 9.003 Å, c = 8.550 Å
α = 58.23°, β = 58.23°, γ = 90.00°
Positions (direct):
Cs 0.750 0.250 0.500
I 0.216 0.216 0.000
Cs 0.250 0.750 0.500
I 0.249 0.249 0.502
Ti 0.000 0.000 0.000
Cl 0.500 0.500 0.000
I 0.216 0.784 0.000
I 0.784 0.784 0.000
I 0.751 0.751 0.498
I 0.784 0.216 0.000

Values from the calculation:
The calculation puts the formation energy (no corrections) at -0.935 eV per atom. Its space-group type is I4/mmm. As for the density of states at the Fermi level: 0.252 states/eV/atom.

# 2
DFT (PBE) results for a relaxed structure of CsTiI2Cl.

a = 5.990 Å, b = 5.990 Å, c = 4.960 Å
α = 90.00°, β = 90.00°, γ = 90.00°
Each line ends with the local moment (μB).
Positions (direct):
Cl 0.000 0.000 0.500  -0.03
Ti 0.000 0.000 0.000  1.65
I 0.500 0.000 0.000  0.00
I 0.000 0.500 0.000  0.00
Cs 0.500 0.500 0.500  0.00

Values from the calculation:
The calculation puts the formation energy (no corrections) at -1.147 eV per atom. Its space-group type is P4/mmm. As for the density of states at the Fermi level: 0.792 states/eV/atom.

# 3
DFT (PBE) results for a relaxed structure of Cs2TlICl4.

a = 9.972 Å, b = 9.972 Å, c = 9.312 Å
α = 113.51°, β = 113.51°, γ = 101.27°
Positions (direct):
Tl 0.000 0.500 0.000
Cl 0.273 0.706 0.000
Cl 0.206 0.773 0.500
Cl 0.794 0.227 0.500
Tl 0.000 0.500 0.500
I 0.500 0.500 0.500
Cs 0.500 0.000 0.500
Cl 0.824 0.799 0.032
I 0.000 0.000 0.000
Cl 0.727 0.294 0.000
Cs 0.500 0.000 0.000
Cl 0.176 0.201 0.968
Cl 0.701 0.676 0.468
Cs 0.000 0.000 0.500
Cs 0.500 0.500 0.000
Cl 0.299 0.324 0.532

Values from the calculation:
The calculation puts the formation energy (no corrections) at -1.240 eV per atom. Its space-group type is C2/c. As for the density of states at the Fermi level: 0.000 states/eV/atom.

# 4
DFT (PBE) results for a relaxed structure of CsTlICl2.

a = 5.704 Å, b = 5.704 Å, c = 6.094 Å
α = 90.00°, β = 90.00°, γ = 90.00°
Positions (direct):
Cl 0.500 0.000 0.000
Tl 0.000 0.000 0.000
I 0.000 0.000 0.500
Cs 0.500 0.500 0.500
Cl 0.000 0.500 0.000

Values from the calculation:
The calculation puts the formation energy (no corrections) at -1.132 eV per atom. Its space-group type is P4/mmm. As for the density of states at the Fermi level: 0.243 states/eV/atom.

# 5
DFT (PBE) results for a relaxed structure of CsTlI2Cl.

a = 6.237 Å, b = 6.237 Å, c = 5.701 Å
α = 90.00°, β = 90.00°, γ = 90.00°
Positions (direct):
Tl 0.000 0.000 0.000
I 0.500 0.000 0.000
I 0.000 0.500 0.000
Cs 0.500 0.500 0.500
Cl 0.000 0.000 0.500

Values from the calculation:
The calculation puts the formation energy (no corrections) at -0.988 eV per atom. Its space-group type is P4/mmm. As for the density of states at the Fermi level: 0.277 states/eV/atom.

# 6
DFT (PBE) results for a relaxed structure of Cs3Tl2I4Cl2.

a = 6.422 Å, b = 6.422 Å, c = 14.797 Å
α = 102.53°, β = 102.53°, γ = 90.00°
Positions (direct):
Cs 0.819 0.819 0.639
I 0.088 0.588 0.177
Cs 0.181 0.181 0.361
Tl 0.604 0.604 0.208
I 0.912 0.412 0.823
I 0.412 0.912 0.823
Cl 0.702 0.702 0.403
Cl 0.298 0.298 0.597
Cs 0.000 0.000 0.000
I 0.588 0.088 0.177
Tl 0.396 0.396 0.792

Values from the calculation:
The calculation puts the formation energy (no corrections) at -1.179 eV per atom. Its space-group type is I4/mmm. As for the density of states at the Fermi level: 0.312 states/eV/atom.

# 7
DFT (PBE) results for a relaxed structure of Cs3Tl2I3Cl2.

a = 5.592 Å, b = 5.592 Å, c = 18.224 Å
α = 98.83°, β = 98.83°, γ = 90.00°
Positions (direct):
Cs 0.000 0.000 0.000
Tl 0.785 0.785 0.571
Cl 0.250 0.750 0.500
I 0.892 0.892 0.784
Cl 0.750 0.250 0.500
Cs 0.611 0.611 0.221
Tl 0.215 0.215 0.429
I 0.500 0.500 0.000
I 0.108 0.108 0.216
Cs 0.389 0.389 0.779

Values from the calculation:
The calculation puts the formation energy (no corrections) at -1.296 eV per atom. Its space-group type is I4/mmm. As for the density of states at the Fermi level: 0.000 states/eV/atom.

# 8
DFT (PBE) results for a relaxed structure of Cs2TlICl6.

a = 7.750 Å, b = 7.750 Å, c = 8.627 Å
α = 63.31°, β = 63.31°, γ = 90.00°
Positions (direct):
Tl 0.000 0.000 0.000
Cl 0.223 0.223 0.555
Cl 0.733 0.267 0.000
Cs 0.250 0.750 0.500
I 0.500 0.500 0.000
Cs 0.750 0.250 0.500
Cl 0.777 0.777 0.445
Cl 0.267 0.267 0.000
Cl 0.267 0.733 0.000
Cl 0.733 0.733 0.000

Values from the calculation:
The calculation puts the formation energy (no corrections) at -1.054 eV per atom. Its space-group type is I4/mmm. As for the density of states at the Fermi level: 0.000 states/eV/atom.

Please write out number 6 again, unchanged.
DFT (PBE) results for a relaxed structure of Cs3Tl2I4Cl2.

a = 6.422 Å, b = 6.422 Å, c = 14.797 Å
α = 102.53°, β = 102.53°, γ = 90.00°
Positions (direct):
Cs 0.819 0.819 0.639
I 0.088 0.588 0.177
Cs 0.181 0.181 0.361
Tl 0.604 0.604 0.208
I 0.912 0.412 0.823
I 0.412 0.912 0.823
Cl 0.702 0.702 0.403
Cl 0.298 0.298 0.597
Cs 0.000 0.000 0.000
I 0.588 0.088 0.177
Tl 0.396 0.396 0.792

Values from the calculation:
The calculation puts the formation energy (no corrections) at -1.179 eV per atom. Its space-group type is I4/mmm. As for the density of states at the Fermi level: 0.312 states/eV/atom.